Record 1
CsGeMo GGA-PBE optimized geometry; formation energy from the elements = 0.23 eV/atom; distance to the lowest polymorph of the same formula = 0.063 eV/atom; magnetic moment = 0.0 μB/cell
1.0
-0.667 1.399 4.134
-0.467 -2.927 3.272
13.110 -0.582 2.592
Mo Ge Cs
2 2 2
Cartesian
12.047 -0.664 4.424 Mo
10.496 -1.695 9.237 Mo
11.940 -1.169 6.935 Ge
9.675 -0.700 4.053 Ge
6.346 -1.757 8.588 Cs
2.029 -2.457 3.133 Cs


Record 2
CsGeMo GGA-PBE optimized geometry; formation energy from the elements = 0.16 eV/atom; distance to the lowest polymorph of the same formula = 0.000 eV/atom; magnetic moment = 0.0 μB/cell
1.0
-3.041 0.779 1.776
2.927 -2.672 2.529
5.161 11.875 2.928
Cs Ge Mo
2 2 2
Cartesian
4.091 6.569 5.258 Cs
0.956 3.412 1.975 Cs
6.213 9.169 4.084 Ge
-1.166 0.812 3.150 Ge
4.448 11.227 3.828 Mo
0.599 -1.245 3.406 Mo


Record 3
CsGe3Mo GGA-PBE optimized geometry; formation energy from the elements = 2.78 eV/atom; distance to the lowest polymorph of the same formula = 2.626 eV/atom; magnetic moment = 0.3 μB/cell
1.0
5.443 0.000 0.000
0.000 5.443 0.000
0.000 0.000 5.443
Ge Mo Cs
3 1 1
Cartesian
2.722 0.000 0.000 Ge
0.000 2.722 0.000 Ge
0.000 0.000 2.722 Ge
2.722 2.722 2.722 Mo
0.000 0.000 0.000 Cs


Record 4
CsGeMo GGA-PBE optimized geometry; formation energy from the elements = 0.20 eV/atom; distance to the lowest polymorph of the same formula = 0.040 eV/atom; magnetic moment = 0.0 μB/cell
1.0
-3.216 -2.968 -0.398
0.645 -3.631 -2.385
5.746 -7.485 9.112
Cs Ge Mo
2 2 2
Cartesian
1.322 -5.455 2.836 Cs
4.449 -9.255 5.646 Cs
-0.366 -6.488 -0.092 Ge
-1.267 -5.221 -2.262 Ge
-2.280 -4.478 0.373 Mo
-0.027 -3.560 -0.412 Mo


Record 5
CsGeMo3 GGA-PBE optimized geometry; formation energy from the elements = 1.91 eV/atom; distance to the lowest polymorph of the same formula = 0.000 eV/atom; magnetic moment = 3.6 μB/cell
1.0
-1.438 0.298 -4.681
3.089 -3.624 -1.180
-3.530 -3.293 0.875
Ge Cs Mo
1 1 3
Cartesian
0.000 0.000 0.000 Ge
-0.940 -3.310 -2.493 Cs
-1.765 -1.646 0.437 Mo
1.544 -1.812 -0.590 Mo
-0.719 0.149 -2.340 Mo


Record 6
Cs3GeMo GGA-PBE optimized geometry; formation energy from the elements = 1.48 eV/atom; magnetic moment = 1.6 μB/cell
1.0
6.373 0.000 0.000
0.000 6.373 0.000
0.000 0.000 6.373
Cs Ge Mo
3 1 1
Cartesian
3.187 0.000 0.000 Cs
0.000 0.000 3.187 Cs
0.000 3.187 0.000 Cs
3.187 3.187 3.187 Ge
0.000 0.000 0.000 Mo


Record 7
CsGeMo GGA-PBE optimized geometry; formation energy from the elements = 0.17 eV/atom; distance to the lowest polymorph of the same formula = 0.001 eV/atom; magnetic moment = 0.1 μB/cell
1.0
-3.436 -1.097 -2.082
1.983 -0.490 -3.015
4.060 -25.406 6.800
Cs Ge Mo
4 4 4
Cartesian
-0.970 -10.925 1.137 Cs
0.555 -3.120 -1.327 Cs
2.052 -23.873 3.030 Cs
1.593 -15.578 3.580 Cs
1.191 -18.426 1.579 Ge
1.416 -8.567 0.124 Ge
2.454 -21.025 5.031 Ge
-1.830 -5.478 -0.314 Ge
0.491 -20.022 3.576 Mo
0.133 -6.481 1.141 Mo
3.155 -19.429 3.033 Mo
-0.548 -7.564 -1.331 Mo


Record 8
CsGeMo GGA-PBE optimized geometry; formation energy from the elements = 0.19 eV/atom; distance to the lowest polymorph of the same formula = 0.025 eV/atom; magnetic moment = 0.0 μB/cell
1.0
3.400 0.000 0.000
0.000 3.401 0.000
-1.565 -0.307 14.504
Ge Mo Cs
2 2 2
Cartesian
0.986 0.544 12.443 Ge
0.850 2.550 2.060 Ge
2.549 0.850 0.681 Mo
-0.714 2.244 13.822 Mo
2.549 0.848 4.689 Cs
-0.713 2.245 9.814 Cs


Record 9
CsGeMo3 GGA-PBE optimized geometry; formation energy from the elements = 3.26 eV/atom; distance to the lowest polymorph of the same formula = 1.347 eV/atom; magnetic moment = 2.9 μB/cell
1.0
-3.898 2.696 -1.448
-1.157 -3.470 -3.344
-2.834 -2.292 3.359
Mo Cs Ge
3 1 1
Cartesian
-1.417 -1.146 1.679 Mo
-0.579 -1.735 -1.672 Mo
-1.949 1.348 -0.724 Mo
0.000 0.000 0.000 Cs
-3.944 -1.533 -0.717 Ge


Record 10
CsGeMo GGA-PBE optimized geometry; formation energy from the elements = 0.21 eV/atom; distance to the lowest polymorph of the same formula = 0.045 eV/atom; magnetic moment = 0.0 μB/cell
1.0
-1.431 4.131 -0.583
-4.321 0.875 0.132
-0.285 3.004 12.897
Cs Ge Mo
2 2 2
Cartesian
-4.116 5.191 7.080 Cs
-1.411 1.819 2.281 Cs
-5.881 7.257 9.345 Ge
-3.797 6.017 12.132 Ge
-5.732 7.641 11.704 Mo
-1.950 4.168 11.176 Mo